[1]
Here is a relaxed structure of CoSbTe2Os from the Alexandria database. Energies are from PBE-GGA.

For the total moment, the calculation gives 0.0000 μB per atom. The value obtained for the uncorrected formation energy is 1134 meV/atom. The offset from the most stable computed form is 0.0 meV/atom. The value obtained for the density of states at the Fermi level is 5.44 states/eV/f.u.

It has space group P4/mmm (No. 123), with a = 4.862 Å, b = 4.862 Å, c = 4.723 Å, α = 90.00°, β = 90.00° and γ = 90.00°. The asymmetric unit holds Co at (0.000, 0.000, 0.000), Sb at (0.000, 0.000, 0.500), Te at (0.000, 0.500, 0.000) and Os at (0.500, 0.500, 0.500).

[2]
Here is a relaxed structure of Ti2CoSbOs from the Alexandria database. Energies are from PBE-GGA.

For the total moment, the calculation gives 0.1257 μB per atom. The value obtained for the uncorrected formation energy is 1491 meV/atom. The value obtained for the density of states at the Fermi level is 7.13 states/eV/f.u.

It has space group P4/mmm (No. 123), with a = 4.889 Å, b = 4.889 Å, c = 4.366 Å, α = 90.00°, β = 90.00° and γ = 90.00°. The asymmetric unit holds Ti at (0.000, 0.500, 0.000), Co at (0.000, 0.000, 0.500), Sb at (0.000, 0.000, 0.000) and Os at (0.500, 0.500, 0.500).

[3]
Here is a relaxed structure of ZrCoSbOs2 from the Alexandria database. Energies are from PBE-GGA.

For the total moment, the calculation gives 0.4701 μB per atom. The value obtained for the uncorrected formation energy is 2256 meV/atom. The value obtained for the density of states at the Fermi level is 8.56 states/eV/f.u.

It has space group P4/mmm (No. 123), with a = 4.834 Å, b = 4.834 Å, c = 5.336 Å, α = 90.00°, β = 90.00° and γ = 90.00°. The asymmetric unit holds Zr at (0.000, 0.000, 0.000), Co at (0.500, 0.500, 0.500), Sb at (0.000, 0.000, 0.500) and Os at (0.000, 0.500, 0.000).

[4]
Here is a relaxed structure of Sc4CoOs from the Alexandria database. Energies are from PBE-GGA.

For the total moment, the calculation gives 0.1340 μB per atom. The offset from the most stable computed form is 970.4 meV/atom. The formation energy comes out at 0.655 eV per atom. The value obtained for the density of states at the Fermi level is 5.89 states/eV/f.u.

It has space group F-43m (No. 216), with a = 7.615 Å, b = 7.615 Å, c = 7.615 Å, α = 90.00°, β = 90.00° and γ = 90.00°. The asymmetric unit holds Sc at (0.124, 0.124, 0.376), Co at (0.000, 0.000, 0.000) and Os at (0.250, 0.250, 0.750).

[5]
Here is a relaxed structure of Sc5Co2Os from the Alexandria database. Energies are from PBE-GGA.

For the total moment, the calculation gives 0.0000 μB per atom. The formation energy comes out at -0.343 eV per atom. The value obtained for the density of states at the Fermi level is 6.41 states/eV/f.u.

It has space group I4/mcm (No. 140), with a = 6.638 Å, b = 6.638 Å, c = 13.313 Å, α = 90.00°, β = 90.00° and γ = 90.00°. The asymmetric unit holds Sc at (0.000, 0.000, 0.000), Sc at (0.178, 0.322, 0.144), Co at (0.118, 0.382, 0.500) and Os at (0.000, 0.000, 0.250).

[6]
Here is a relaxed structure of Sc4CoOs from the Alexandria database. Energies are from PBE-GGA.

For the total moment, the calculation gives 0.0858 μB per atom. The offset from the most stable computed form is 0.0 meV/atom. The formation energy comes out at -0.315 eV per atom. The value obtained for the density of states at the Fermi level is 3.74 states/eV/f.u.

It has space group P4/mmm (No. 123), with a = 3.181 Å, b = 3.181 Å, c = 11.674 Å, α = 90.00°, β = 90.00° and γ = 90.00°. The asymmetric unit holds Sc at (0.000, 0.000, 0.129), Sc at (0.500, 0.500, 0.366), Co at (0.500, 0.500, 0.000) and Os at (0.000, 0.000, 0.500).

[7]
Here is a relaxed structure of ScCoOs3 from the Alexandria database. Energies are from PBE-GGA.

For the total moment, the calculation gives 0.0002 μB per atom. The offset from the most stable computed form is 1474.7 meV/atom. The formation energy comes out at 2.641 eV per atom. The value obtained for the density of states at the Fermi level is 7.89 states/eV/f.u.

It has space group Pm-3m (No. 221), with a = 4.548 Å, b = 4.548 Å, c = 4.548 Å, α = 90.00°, β = 90.00° and γ = 90.00°. The asymmetric unit holds Sc at (0.000, 0.000, 0.000), Co at (0.500, 0.500, 0.500) and Os at (0.000, 0.000, 0.500).

[8]
Here is a relaxed structure of Sc12Co6Os from the Alexandria database. Energies are from PBE-GGA.

For the total moment, the calculation gives 0.0000 μB per atom. The formation energy comes out at -0.238 eV per atom. The value obtained for the density of states at the Fermi level is 22.32 states/eV/f.u.

It has space group Im-3 (No. 204), with a = 8.842 Å, b = 8.842 Å, c = 8.842 Å, α = 90.00°, β = 90.00° and γ = 90.00°. The asymmetric unit holds Sc at (0.000, 0.192, 0.288), Co at (0.000, 0.378, 0.500) and Os at (0.000, 0.000, 0.000).

[9]
Here is a relaxed structure of ScCo2Os from the Alexandria database. Energies are from PBE-GGA.

For the total moment, the calculation gives 0.0000 μB per atom. The offset from the most stable computed form is 53.1 meV/atom. The formation energy comes out at -0.019 eV per atom. The value obtained for the density of states at the Fermi level is 3.84 states/eV/f.u.

It has space group P2/m (No. 10), with a = 2.708 Å, b = 3.654 Å, c = 5.501 Å, α = 90.00°, β = 90.30° and γ = 90.00°. The asymmetric unit holds Sc at (0.000, 0.000, 0.000), Co at (0.500, 0.500, 0.280) and Os at (0.000, 0.000, 0.500).

[10]
Here is a relaxed structure of ScCo2Os from the Alexandria database. Energies are from PBE-GGA.

For the total moment, the calculation gives 0.5155 μB per atom. The offset from the most stable computed form is 371.0 meV/atom. The formation energy comes out at 0.299 eV per atom. The value obtained for the density of states at the Fermi level is 6.12 states/eV/f.u.

It has space group R-3m (No. 166, hexagonal axes), with a = 2.7499 Å, b = 2.7499 Å, c = 25.5236 Å, α = 90.00°, β = 90.00° and γ = 120.00°. The asymmetric unit holds Sc at (0.0000, 0.0000, 0.0000), Co at (0.0000, 0.0000, 0.2466) and Os at (0.0000, 0.0000, 0.5000).